No. 1
The following is a DFT calculation (PBE-GGA) of a relaxed structure of Zr3TiZn7.

abc: 9.7309 9.7309 13.2323
angles: 90.00 90.00 161.89
Closest atoms and distances in Å follow each position.
Atoms (fractional coordinates):
Zr 0.1145 0.8855 0.5433  11 Zn 2.86-3.20, 2 Zr 3.06
Zr 0.1145 0.8855 0.9567  11 Zn 2.86-3.20, 2 Zr 3.06
Zr 0.2549 0.7451 0.2500  9 Zn 2.85-3.11, 2 Zr 3.06
Zr 0.7451 0.2549 0.7500  9 Zn 2.85-3.11, 2 Zr 3.06
Zr 0.8855 0.1145 0.0433  11 Zn 2.86-3.20, 2 Zr 3.06
Zr 0.8855 0.1145 0.4567  11 Zn 2.86-3.20, 2 Zr 3.06
Ti 0.0289 0.9711 0.2500  10 Zn 2.64-2.82
Ti 0.9711 0.0289 0.7500  10 Zn 2.64-2.82
Zn 0.2623 0.7377 0.5703  3 Zn 2.38-2.46
Zn 0.2623 0.7377 0.9297  3 Zn 2.38-2.46
Zn 0.3707 0.6293 0.6570  3 Zn 2.38-2.49
Zn 0.3707 0.6293 0.8430  3 Zn 2.38-2.49
Zn 0.4056 0.5944 0.2500  2 Ti 2.82, 5 Zr 2.90-3.16, 4 Zn 2.90-3.06
Zn 0.4916 0.5084 0.5900  2 Zn 2.40-2.49, 2 Ti 2.64
Zn 0.4916 0.5084 0.9100  2 Zn 2.40-2.49, 2 Ti 2.64
Zn 0.5084 0.4916 0.0900  2 Zn 2.40-2.49, 2 Ti 2.64
Zn 0.5084 0.4916 0.4100  2 Zn 2.40-2.49, 2 Ti 2.64
Zn 0.5944 0.4056 0.7500  2 Ti 2.82, 5 Zr 2.90-3.16, 4 Zn 2.90-3.06
Zn 0.6293 0.3707 0.1570  3 Zn 2.38-2.49
Zn 0.6293 0.3707 0.3430  3 Zn 2.38-2.49
Zn 0.7377 0.2623 0.0703  3 Zn 2.38-2.46
Zn 0.7377 0.2623 0.4297  3 Zn 2.38-2.46

Properties
As for the energy of formation from the pure elements: -98 kJ/mol of formula units. The calculation puts the spin magnetization at 0.00 Bohr magnetons per cell.


No. 2
The following is a DFT calculation (PBE-GGA) of a relaxed structure of ZrTi2Zn3.

abc: 3.2075 3.2075 9.6540
angles: 90.00 90.00 90.00
Closest atoms and distances in Å follow each position.
Atoms (fractional coordinates):
Zr 0.0000 0.0000 0.0000  8 Zn 2.90, 4 Zr 3.21
Ti 0.0000 0.0000 0.3414  8 Zn 2.71-2.74
Ti 0.0000 0.0000 0.6586  8 Zn 2.71-2.74
Zn 0.5000 0.5000 0.1871  4 Ti 2.71, 4 Zr 2.90, 1 Zn 3.02
Zn 0.5000 0.5000 0.5000  8 Ti 2.74, 2 Zn 3.02
Zn 0.5000 0.5000 0.8129  4 Ti 2.71, 4 Zr 2.90, 1 Zn 3.02

Properties
As for the energy of formation from the pure elements: -124 kJ/mol of formula units. The calculation puts the spin magnetization at 0.00 Bohr magnetons per cell.


No. 3
The following is a DFT calculation (PBE-GGA) of a relaxed structure of ZrTi3Zn4.

abc: 9.0268 6.4187 4.5149
angles: 90.00 90.00 90.00
Closest atoms and distances in Å follow each position.
Atoms (fractional coordinates):
Zr 0.0000 0.0000 0.0000  8 Zn 2.82
Zr 0.5000 0.0000 0.0000  8 Zn 2.82
Ti 0.0000 0.5000 0.0000  8 Zn 2.72
Ti 0.2500 0.0000 0.4986  8 Zn 2.82
Ti 0.2500 0.5000 0.4983  8 Zn 2.72
Ti 0.5000 0.5000 0.0000  8 Zn 2.72
Ti 0.7500 0.0000 0.5014  8 Zn 2.82
Ti 0.7500 0.5000 0.5017  8 Zn 2.72
Zn 0.0000 0.2639 0.5000  6 Ti 2.72-2.82, 2 Zr 2.82, 1 Zn 3.03
Zn 0.0000 0.7361 0.5000  6 Ti 2.72-2.82, 2 Zr 2.82, 1 Zn 3.03
Zn 0.2500 0.2639 0.9981  6 Ti 2.72-2.82, 2 Zr 2.82, 1 Zn 3.03
Zn 0.2500 0.7361 0.9981  6 Ti 2.72-2.82, 2 Zr 2.82, 1 Zn 3.03
Zn 0.5000 0.2639 0.5000  6 Ti 2.72-2.82, 2 Zr 2.82, 1 Zn 3.03
Zn 0.5000 0.7361 0.5000  6 Ti 2.72-2.82, 2 Zr 2.82, 1 Zn 3.03
Zn 0.7500 0.2639 0.0019  6 Ti 2.72-2.82, 2 Zr 2.82, 1 Zn 3.03
Zn 0.7500 0.7361 0.0019  6 Ti 2.72-2.82, 2 Zr 2.82, 1 Zn 3.03

Properties
As for the energy of formation from the pure elements: -151 kJ/mol of formula units. The calculation puts the spin magnetization at 0.00 Bohr magnetons per cell.


No. 4
The following is a DFT calculation (PBE-GGA) of a relaxed structure of Zr3Ti2Zn3.

abc: 9.9779 9.9779 9.9779
angles: 161.36 152.33 33.58
Closest atoms and distances in Å follow each position.
Atoms (fractional coordinates):
Zr 0.0000 0.0000 0.0000  8 Zn 2.88-2.91
Zr 0.3733 0.8733 0.5000  6 Zn 2.88-2.91, 2 Ti 2.98
Zr 0.6267 0.1267 0.5000  6 Zn 2.88-2.91, 2 Ti 2.98
Ti 0.2420 0.2420 0.0000  2 Zn 2.73, 4 Ti 2.90, 2 Zr 2.98
Ti 0.7580 0.7580 0.0000  2 Zn 2.73, 4 Ti 2.90, 2 Zr 2.98
Zn 0.1267 0.6267 0.5000  2 Ti 2.73, 6 Zr 2.88-2.91
Zn 0.5000 0.5000 0.0000  8 Zr 2.88-2.91
Zn 0.8733 0.3733 0.5000  2 Ti 2.73, 6 Zr 2.88-2.91

Properties
As for the energy of formation from the pure elements: -131 kJ/mol of formula units. The calculation puts the spin magnetization at 0.00 Bohr magnetons per cell.


No. 5
The following is a DFT calculation (PBE-GGA) of a relaxed structure of Zr4TiZn.

abc: 6.3055 6.3055 4.6201
angles: 90.00 90.00 136.94
Closest atoms and distances in Å follow each position.
Atoms (fractional coordinates):
Zr 0.1580 0.8420 0.0000  2 Ti 2.96, 2 Zn 2.97, 8 Zr 3.15-3.27
Zr 0.3404 0.6596 0.5000  2 Zn 2.97, 2 Ti 2.98, 8 Zr 3.14-3.27
Zr 0.6596 0.3404 0.5000  2 Zn 2.97, 2 Ti 2.98, 8 Zr 3.14-3.27
Zr 0.8420 0.1580 0.0000  2 Ti 2.96, 2 Zn 2.97, 8 Zr 3.15-3.27
Ti 0.0000 0.0000 0.5000  8 Zr 2.96-2.98, 4 Zn 3.27
Zn 0.5000 0.5000 0.0000  8 Zr 2.97, 4 Ti 3.27

Properties
As for the energy of formation from the pure elements: -15 kJ/mol of formula units. The calculation puts the spin magnetization at 2.51 Bohr magnetons per cell. As for the distance to the lowest polymorph of the same formula: 23.5 meV/atom.


No. 6
The following is a DFT calculation (PBE-GGA) of a relaxed structure of Zr3Ti3Zn8.

abc: 7.9858 7.9858 7.9858
angles: 149.82 106.61 81.35
Closest atoms and distances in Å follow each position.
Atoms (fractional coordinates):
Zr 0.0000 0.0000 0.0000  12 Zn 3.03-3.17
Zr 0.2951 0.2951 0.0000  10 Zn 2.96-3.20, 4 Ti 3.00-3.24
Zr 0.7049 0.7049 0.0000  10 Zn 2.96-3.20, 4 Ti 3.00-3.24
Ti 0.3225 0.5000 0.8225  6 Zn 2.63-2.76, 2 Ti 2.68
Ti 0.5000 0.0000 0.5000  4 Ti 2.68, 4 Zn 2.77
Ti 0.6775 0.5000 0.1775  6 Zn 2.63-2.76, 2 Ti 2.68
Zn 0.0259 0.6521 0.3738  4 Zn 2.41-2.63, 1 Ti 2.63
Zn 0.1305 0.8548 0.2757  3 Zn 2.52-2.63, 3 Ti 2.76-2.77
Zn 0.2783 0.6521 0.6262  4 Zn 2.41-2.63, 1 Ti 2.63
Zn 0.4209 0.1452 0.2757  3 Zn 2.52-2.63, 3 Ti 2.76-2.77
Zn 0.5791 0.8548 0.7243  3 Zn 2.52-2.63, 3 Ti 2.76-2.77
Zn 0.7217 0.3479 0.3738  4 Zn 2.41-2.63, 1 Ti 2.63
Zn 0.8695 0.1452 0.7243  3 Zn 2.52-2.63, 3 Ti 2.76-2.77
Zn 0.9741 0.3479 0.6262  4 Zn 2.41-2.63, 1 Ti 2.63

Properties
As for the energy of formation from the pure elements: -214 kJ/mol of formula units. The calculation puts the spin magnetization at 0.00 Bohr magnetons per cell.


No. 7
The following is a DFT calculation (PBE-GGA) of a relaxed structure of ZrTi4Zn.

abc: 2.9816 2.9816 12.0057
angles: 90.00 90.00 90.00
Closest atoms and distances in Å follow each position.
Atoms (fractional coordinates):
Zr 0.0000 0.0000 0.0000  4 Zr 2.98, 8 Ti 3.11
Ti 0.0000 0.0000 0.3486  4 Zn 2.78, 8 Ti 2.83-2.98
Ti 0.0000 0.0000 0.6514  4 Zn 2.78, 8 Ti 2.83-2.98
Ti 0.5000 0.5000 0.1910  8 Ti 2.83-2.98, 4 Zr 3.11
Ti 0.5000 0.5000 0.8090  8 Ti 2.83-2.98, 4 Zr 3.11
Zn 0.5000 0.5000 0.5000  8 Ti 2.78, 4 Zn 2.98

Properties
As for the energy of formation from the pure elements: -23 kJ/mol of formula units. The calculation puts the spin magnetization at 0.00 Bohr magnetons per cell.


No. 8
The following is a DFT calculation (PBE-GGA) of a relaxed structure of ZrTiZn4.

abc: 5.1482 5.1482 5.1482
angles: 60.00 60.00 60.00
Closest atoms and distances in Å follow each position.
Atoms (fractional coordinates):
Zr 0.0000 0.0000 0.0000  12 Zn 3.02, 4 Ti 3.15
Ti 0.2500 0.2500 0.2500  12 Zn 3.02, 4 Zr 3.15
Zn 0.1256 0.6248 0.6248  6 Zn 2.57-2.58
Zn 0.6248 0.1256 0.6248  6 Zn 2.57-2.58
Zn 0.6248 0.6248 0.1256  6 Zn 2.57-2.58
Zn 0.6248 0.6248 0.6248  6 Zn 2.57-2.58

Properties
As for the energy of formation from the pure elements: -138 kJ/mol of formula units. The calculation puts the spin magnetization at 2.27 Bohr magnetons per cell. As for the distance to the lowest polymorph of the same formula: 0.0 meV/atom.


No. 9
The following is a DFT calculation (PBE-GGA) of a relaxed structure of Zr4TiZn.

abc: 3.1281 3.1281 12.7631
angles: 90.00 90.00 90.00
Closest atoms and distances in Å follow each position.
Atoms (fractional coordinates):
Zr 0.0000 0.0000 0.1536  4 Zn 2.96, 8 Zr 3.13-3.22
Zr 0.0000 0.0000 0.8464  4 Zn 2.96, 8 Zr 3.13-3.22
Zr 0.5000 0.5000 0.3372  4 Ti 3.03, 8 Zr 3.13-3.22
Zr 0.5000 0.5000 0.6628  4 Ti 3.03, 8 Zr 3.13-3.22
Ti 0.0000 0.0000 0.5000  8 Zr 3.03, 4 Ti 3.13
Zn 0.5000 0.5000 0.0000  8 Zr 2.96, 4 Zn 3.13

Properties
As for the energy of formation from the pure elements: -28 kJ/mol of formula units. The calculation puts the spin magnetization at 0.00 Bohr magnetons per cell. As for the distance to the lowest polymorph of the same formula: 0.0 meV/atom.


No. 10
The following is a DFT calculation (PBE-GGA) of a relaxed structure of ZrTiZn6.

abc: 4.3689 5.7742 5.7742
angles: 60.04 90.00 90.00
Closest atoms and distances in Å follow each position.
Atoms (fractional coordinates):
Zr 0.0000 0.0000 0.0000  12 Zn 2.80-2.89
Ti 0.5000 0.6674 0.6674  12 Zn 2.75-2.89
Zn 0.0000 0.0024 0.4989  8 Zn 2.72-2.91, 2 Ti 2.75, 2 Zr 2.89
Zn 0.0000 0.4989 0.0024  8 Zn 2.72-2.91, 2 Ti 2.75, 2 Zr 2.89
Zn 0.0000 0.4997 0.4997  8 Zn 2.72-2.90, 2 Ti 2.75, 2 Zr 2.89
Zn 0.5000 0.1754 0.1754  8 Zn 2.72-3.03, 2 Zr 2.80, 2 Ti 2.89
Zn 0.5000 0.1761 0.6497  8 Zn 2.72-3.04, 2 Zr 2.80, 2 Ti 2.89
Zn 0.5000 0.6497 0.1761  8 Zn 2.72-3.04, 2 Zr 2.80, 2 Ti 2.89

Properties
As for the energy of formation from the pure elements: -166 kJ/mol of formula units. The calculation puts the spin magnetization at 0.00 Bohr magnetons per cell.


No. 11
The following is a DFT calculation (PBE-GGA) of a relaxed structure of Zr4TiZn5.

abc: 3.2985 3.2985 16.5771
angles: 90.00 90.00 90.00
Closest atoms and distances in Å follow each position.
Atoms (fractional coordinates):
Zr 0.0000 0.0000 0.1026  8 Zn 2.89
Zr 0.0000 0.0000 0.3074  8 Zn 2.88-2.92, 1 Ti 3.19
Zr 0.0000 0.0000 0.6926  8 Zn 2.88-2.92, 1 Ti 3.19
Zr 0.0000 0.0000 0.8974  8 Zn 2.89
Ti 0.0000 0.0000 0.5000  8 Zn 2.74
Zn 0.5000 0.5000 0.0000  8 Zr 2.89
Zn 0.5000 0.5000 0.2052  8 Zr 2.88-2.89
Zn 0.5000 0.5000 0.4130  4 Ti 2.74, 1 Zn 2.88, 4 Zr 2.92
Zn 0.5000 0.5000 0.5870  4 Ti 2.74, 1 Zn 2.88, 4 Zr 2.92
Zn 0.5000 0.5000 0.7948  8 Zr 2.88-2.89

Properties
As for the energy of formation from the pure elements: -247 kJ/mol of formula units. The calculation puts the spin magnetization at 0.00 Bohr magnetons per cell.


No. 12
The following is a DFT calculation (PBE-GGA) of a relaxed structure of ZrTiZn.

abc: 3.0328 3.0336 11.9741
angles: 90.00 90.08 90.00
Closest atoms and distances in Å follow each position.
Atoms (fractional coordinates):
Zr 0.2501 0.2500 0.2383  4 Zn 2.98, 4 Zr 3.03, 4 Ti 3.05-3.06
Zr 0.7499 0.7500 0.7617  4 Zn 2.98, 4 Zr 3.03, 4 Ti 3.05-3.06
Ti 0.2504 0.2500 0.5800  8 Ti 2.88-3.03, 4 Zr 3.05-3.06
Ti 0.7496 0.7500 0.4200  8 Ti 2.88-3.03, 4 Zr 3.05-3.06
Zn 0.2497 0.2500 0.9348  4 Zn 2.65
Zn 0.7503 0.7500 0.0652  4 Zn 2.65

Properties
As for the energy of formation from the pure elements: -26 kJ/mol of formula units. The calculation puts the spin magnetization at 0.00 Bohr magnetons per cell. As for the distance to the lowest polymorph of the same formula: 0.0 meV/atom.


The highest spin magnetization belongs to which entry? number 5